(1)
Entry from the Alexandria database: a geometry-optimized BeSeBr2 structure (GGA-PBE).

Cell: 12.0088 12.0088 12.0088 Å, 15.95 15.95 15.95°
Atoms (fractional coordinates):
Be 0.0000 0.0000 0.0000
Se 0.5000 0.5000 0.5000
Br 0.2939 0.2939 0.2939
Br 0.7061 0.7061 0.7061

Calculated values
formation energy without anion corrections: -4.269 kcal/mol of atoms
calculated volume: 28.5 Å³ per atom



(2)
Entry from the Alexandria database: a geometry-optimized Tb3Er12Tm structure (GGA-PBE).

Cell: 4.9612 4.9612 19.8358 Å, 90.00 90.00 90.00°
Atoms (fractional coordinates):
Tb 0.0000 0.0000 0.0000
Tb 0.0000 0.0000 0.2505
Tb 0.0000 0.0000 0.7495
Er 0.0000 0.5000 0.1253
Er 0.0000 0.5000 0.3759
Er 0.0000 0.5000 0.6241
Er 0.0000 0.5000 0.8747
Er 0.5000 0.0000 0.1253
Er 0.5000 0.0000 0.3759
Er 0.5000 0.0000 0.6241
Er 0.5000 0.0000 0.8747
Er 0.5000 0.5000 0.0000
Er 0.5000 0.5000 0.2507
Er 0.5000 0.5000 0.5000
Er 0.5000 0.5000 0.7493
Tm 0.0000 0.0000 0.5000

Calculated values
calculated volume: 30.5 Å³ per atom
formation enthalpy at 0 K: 0.022 eV per atom



(3)
Entry from the Alexandria database: a geometry-optimized CsTcAg2F8 structure (GGA-PBE).

Cell: 5.5556 5.5556 8.6595 Å, 90.00 90.00 120.00°
Atoms (fractional coordinates):
Cs 0.0000 0.0000 0.0000
Tc 0.0000 0.0000 0.5000
Ag 0.3333 0.6667 0.3366
Ag 0.6667 0.3333 0.6634
F 0.1640 0.3280 0.6292
F 0.1640 0.8360 0.6292
F 0.3280 0.1640 0.3708
F 0.3333 0.6667 0.0965
F 0.6667 0.3333 0.9035
F 0.6720 0.8360 0.6292
F 0.8360 0.1640 0.3708
F 0.8360 0.6720 0.3708

Calculated values
formation energy without anion corrections: -40.406 kcal/mol of atoms
calculated volume: 19.3 Å³ per atom



Going through the records in order, we get M_tot values of 0.1009 0.0000 0.1646 μB per atom.
Going through the records in order, we get VASP energy values of -2.824 -4.548 -4.410 eV per atom.